14
Lattice="6.0122 0.0000 0.0000 -3.0061 5.2067 0.0000 0.0000 0.0000 7.9769" Properties=species:S:1:pos:R:3 comment="Rb3V2SnO8 PBE with a Hubbard U optimized geometry" final_energy_ev_per_atom=-6.24 pbc="T T T"
Rb 0.0000 0.0000 0.0000
Rb 0.0000 3.4712 5.6303
Rb 3.0061 1.7356 2.3466
V 0.0000 3.4712 2.1074
V 3.0061 1.7356 5.8696
Sn 0.0000 0.0000 3.9885
O 0.0000 1.7851 2.6900
O -1.4602 4.3142 2.6900
O 0.0000 3.4712 0.4245
O 1.5459 0.8925 5.2869
O 1.4602 4.3142 2.6900
O 3.0061 1.7356 7.5525
O 4.4663 0.8925 5.2869
O 3.0061 3.4216 5.2869